Record 1
Computed, not measured: a relaxed structure of ReSnCl2 at the GGA-PBEsol level of DFT.

magnetization = 0.720 μB/atom
energy relative to the elements, uncorrected = 23.3 kcal/mol of atoms

a = 4.747 Å, b = 4.747 Å, c = 4.747 Å
α = 60.00°, β = 60.00°, γ = 60.00°
Each line ends with the local moment (μB).
Fractional positions:
Re (0.500, 0.500, 0.500)  2.34
Sn (0.000, 0.000, 0.000)  0.00
Cl (0.250, 0.250, 0.250)  0.07
Cl (0.750, 0.750, 0.750)  0.07

***

Record 2
Computed, not measured: a relaxed structure of Sr2ReCl at the GGA-PBEsol level of DFT.

magnetization = 0.181 μB/atom
E above lowest polymorph = 0.0 meV per atom
energy relative to the elements, uncorrected = 1.2 kcal/mol of atoms

a = 3.596 Å, b = 3.596 Å, c = 9.193 Å
α = 78.72°, β = 78.72°, γ = 60.00°
Each line ends with the local moment (μB).
Fractional positions:
Re (0.000, 0.000, 0.000)  0.60
Cl (0.500, 0.500, 0.500)  0.00
Sr (0.250, 0.250, 0.249)  0.01
Sr (0.750, 0.750, 0.751)  0.01